(1)
This record from Alexandria via LeMat-Bulk describes a relaxed structure of MnBe2Pd. The functional is GGA-PBE.

energy of formation = 0.18 eV/atom
D(E_F) = 0.622 states/eV per atom

Cell: 6.112 6.112 5.105 Å, 90.00 90.00 90.00°
Space group I-42d (No. 122)
Inequivalent atoms, fractional coordinates:
Mn1 0.000 0.000 0.000 (multiplicity 4)
Be1 0.246 0.250 0.625 (multiplicity 8)
Pd1 0.000 0.000 0.500 (multiplicity 4)

=====

(2)
This record from Alexandria via LeMat-Bulk describes a relaxed structure of MnBePd4. The functional is GGA-PBE.

energy of formation = -0.12 eV/atom
D(E_F) = 0.681 states/eV per atom

Cell: 7.045 4.051 6.940 Å, 90.00 109.67 90.00°
Space group C2/m (No. 12)
Inequivalent atoms, fractional coordinates:
Mn1 0.000 0.000 0.000 (multiplicity 2)
Be1 0.000 0.500 0.500 (multiplicity 2)
Pd1 0.118 0.500 0.850 (multiplicity 4)
Pd2 0.131 0.000 0.394 (multiplicity 4)

=====

(3)
This record from Alexandria via LeMat-Bulk describes a relaxed structure of Mn2Be2Pd. The functional is GGA-PBE.

energy of formation = 0.03 eV/atom
D(E_F) = 0.687 states/eV per atom

Cell: 5.867 5.867 3.018 Å, 90.00 90.00 90.00°
Space group P4/mbm (No. 127)
Inequivalent atoms, fractional coordinates:
Mn1 0.168 0.332 0.000 (multiplicity 4)
Be1 0.124 0.624 0.500 (multiplicity 4)
Pd1 0.000 0.000 0.500 (multiplicity 2)

=====

(4)
This record from Alexandria via LeMat-Bulk describes a relaxed structure of MnBePd6. The functional is GGA-PBE.

energy of formation = -0.03 eV/atom
D(E_F) = 0.837 states/eV per atom

Cell: 7.332 5.492 7.153 Å, 90.00 117.55 90.00°
Space group C2/m (No. 12)
Inequivalent atoms, fractional coordinates:
Mn1 0.000 0.000 0.000 (multiplicity 2)
Be1 0.000 0.500 0.500 (multiplicity 2)
Pd1 0.159 0.249 0.785 (multiplicity 8)
Pd2 0.195 0.000 0.474 (multiplicity 4)

=====

Question: The highest D(E_F) belongs to which entry?
Answer: MnBePd6